VASP calculation (GGA-PBE) on an optimized crystal structure of NaNbSe2N.

Cell and atoms, written as CIF:
```
data_NaNbSe2N
_cell_length_a 5.059
_cell_length_b 5.059
_cell_length_c 4.029
_cell_angle_alpha 90.00
_cell_angle_beta 90.00
_cell_angle_gamma 90.00
_symmetry_space_group_name_H-M 'P 1'
_symmetry_Int_Tables_number 1
_symmetry_space_group_name_Hall 'P 1'
loop_
_atom_site_label
_atom_site_fract_x
_atom_site_fract_y
_atom_site_fract_z
Na1 0.000 0.000 0.000
Se1 0.500 0.000 0.000
Se2 0.000 0.500 0.000
N1 0.000 0.000 0.500
Nb1 0.500 0.500 0.500
```

Output
space-group type = P4/mmm
formation energy without anion corrections = 6.49 eV per formula unit
total moment = 1.0 μB/f.u.
offset from the most stable computed form = 1680 meV/atom

VASP calculation (GGA-PBE) on an optimized crystal structure of SrInBiPd3.

Cell and atoms, written as CIF:
```
data_SrInBiPd3
_cell_length_a 5.921
_cell_length_b 5.846
_cell_length_c 9.456
_cell_angle_alpha 108.01
_cell_angle_beta 90.00
_cell_angle_gamma 90.00
_symmetry_space_group_name_H-M 'P 1'
_symmetry_Int_Tables_number 1
_symmetry_space_group_name_Hall 'P 1'
loop_
_atom_site_label
_atom_site_fract_x
_atom_site_fract_y
_atom_site_fract_z
Pd1 0.250 0.247 0.494
Pd2 0.000 0.249 0.000
Pd3 0.500 0.751 0.000
Pd4 0.750 0.753 0.506
Pd5 0.500 0.249 0.000
Pd6 0.000 0.751 0.000
In1 0.250 0.099 0.198
In2 0.750 0.901 0.802
Sr1 0.250 0.717 0.433
Sr2 0.750 0.283 0.567
Bi1 0.750 0.601 0.202
Bi2 0.250 0.399 0.798
```

Output
formation enthalpy at 0 K = -0.381 eV per atom
space-group type = Cmcm
total moment = 0.0 μB/f.u.

VASP calculation (GGA-PBE) on an optimized crystal structure of CrInHg.

Cell and atoms, written as CIF:
```
data_CrInHg
_cell_length_a 5.531
_cell_length_b 5.034
_cell_length_c 5.563
_cell_angle_alpha 70.19
_cell_angle_beta 59.91
_cell_angle_gamma 80.22
_symmetry_space_group_name_H-M 'P 1'
_symmetry_Int_Tables_number 1
_symmetry_space_group_name_Hall 'P 1'
loop_
_atom_site_label
_atom_site_fract_x
_atom_site_fract_y
_atom_site_fract_z
In1 0.453 0.581 0.719
In2 0.453 0.081 0.219
Hg1 0.100 0.080 0.896
Hg2 0.807 0.081 0.542
Cr1 0.776 0.581 0.057
Cr2 0.130 0.581 0.381
```

Output
formation enthalpy at 0 K = 0.392 eV per atom
space-group type = P-1
total moment = 3.9 μB/f.u.
offset from the most stable computed form = 90 meV/atom

VASP calculation (GGA-PBE) on an optimized crystal structure of Rb3ReIr.

Cell and atoms, written as CIF:
```
data_Rb3ReIr
_cell_length_a 6.283
_cell_length_b 6.283
_cell_length_c 6.283
_cell_angle_alpha 90.00
_cell_angle_beta 90.00
_cell_angle_gamma 90.00
_symmetry_space_group_name_H-M 'P 1'
_symmetry_Int_Tables_number 1
_symmetry_space_group_name_Hall 'P 1'
loop_
_atom_site_label
_atom_site_fract_x
_atom_site_fract_y
_atom_site_fract_z
Rb1 0.000 0.000 0.500
Rb2 0.000 0.500 0.000
Rb3 0.500 0.000 0.000
Ir1 0.000 0.000 0.000
Re1 0.500 0.500 0.500
```

Output
formation enthalpy at 0 K = 1.947 eV per atom
space-group type = Pm-3m
total moment = 4.3 μB/f.u.
offset from the most stable computed form = 0 meV/atom